In2TePb: optimized geometry, PBE.

Computed properties:
* total magnetic moment: 0.0 Bohr magnetons per cell
* E_tot: -3.114 eV/atom
* formation energy from raw total energies: -0.033 eV/atom

The structure in POSCAR format:
```
In2TePb
1.0
6.3938 -0.0578 0.0000
-2.6572 5.8157 0.0000
0.0000 0.0000 3.2622
In Pb Te
2 1 1
Cartesian
1.8683 2.8790 0.0000 In
0.0000 0.0000 0.0000 In
3.1969 -0.0289 1.6311 Pb
-1.3286 2.9079 1.6311 Te
```